This record from Alexandria describes crystalline Cd2HgPb2 at its relaxed geometry. The functional is PBE-GGA.

The structure belongs to space group I4/mmm (No. 139); the cell edges are 4.0870, 4.0870 and 17.3512 Å and the angles 90.00°, 90.00° and 90.00°. The inequivalent atoms are Cd at (0.0000, 0.5000, 0.2500), Hg at (0.0000, 0.0000, 0.0000) and Pb at (0.0000, 0.0000, 0.3983).

The volume is 289.8 Å³ per cell. As for the formation energy from the elements: 0.0911 eV/atom.